one | This record from Alexandria describes crystalline HfFeHRh2 at its relaxed geometry. The functional is GGA-PBE.

Unit cell a=3.944 b=3.944 c=4.032 alpha=90.00 beta=90.00 gamma=90.00
Fractional coordinates of all 5 atoms:
Hf 0.000 0.000 0.000
Fe 0.500 0.500 0.000
H 0.000 0.000 0.500
Rh 0.000 0.500 0.500
Rh 0.500 0.000 0.500

## Properties
* V: 12.54 Å³/atom

two | This record from Alexandria describes crystalline HfFeHRh2 at its relaxed geometry. The functional is GGA-PBE.

Unit cell a=3.944 b=3.944 c=3.867 alpha=90.00 beta=90.00 gamma=90.00
Fractional coordinates of all 5 atoms:
Hf 0.000 0.000 0.000
Fe 0.500 0.500 0.000
H 0.500 0.500 0.500
Rh 0.000 0.500 0.500
Rh 0.500 0.000 0.500

## Properties
* V: 12.03 Å³/atom

Most stable structure - two; separation to the second - 3.3 kJ/mol of atoms.

one | This record from Alexandria describes crystalline Hf2FeHRh at its relaxed geometry. The functional is GGA-PBE.

Unit cell a=4.472 b=4.472 c=3.414 alpha=90.00 beta=90.00 gamma=90.00
Fractional coordinates of all 5 atoms:
Hf 0.000 0.500 0.000
Hf 0.500 0.000 0.000
Fe 0.000 0.000 0.500
H 0.000 0.000 0.000
Rh 0.500 0.500 0.500

## Properties
* V: 13.66 Å³/atom

two | This record from Alexandria describes crystalline Hf2FeHRh at its relaxed geometry. The functional is GGA-PBE.

Unit cell a=4.478 b=4.478 c=3.493 alpha=90.00 beta=90.00 gamma=90.00
Fractional coordinates of all 5 atoms:
Hf 0.000 0.500 0.000
Hf 0.500 0.000 0.000
Fe 0.000 0.000 0.500
H 0.500 0.500 0.000
Rh 0.500 0.500 0.500

## Properties
* V: 14.01 Å³/atom

Most stable structure - one; separation to the second - 11.2 kJ/mol of atoms.

one | This record from Alexandria describes crystalline Hf2FeTcH at its relaxed geometry. The functional is GGA-PBE.

Unit cell a=4.543 b=4.543 c=3.302 alpha=90.00 beta=90.00 gamma=90.00
Fractional coordinates of all 5 atoms:
Hf 0.000 0.500 0.000
Hf 0.500 0.000 0.000
Fe 0.000 0.000 0.500
Tc 0.500 0.500 0.500
H 0.000 0.000 0.000

## Properties
* V: 13.63 Å³/atom

two | This record from Alexandria describes crystalline Hf2FeTcH at its relaxed geometry. The functional is GGA-PBE.

Unit cell a=4.867 b=4.867 c=3.156 alpha=90.00 beta=90.00 gamma=90.00
Fractional coordinates of all 5 atoms:
Hf 0.000 0.500 0.000
Hf 0.500 0.000 0.000
Fe 0.000 0.000 0.000
Tc 0.500 0.500 0.500
H 0.000 0.000 0.500

## Properties
* V: 14.95 Å³/atom

Most stable structure - one; separation to the second - 69.3 kJ/mol of atoms.